(1)
La2CoTc, optimized geometry, DFT PBE; spin magnetization = 1.2 μB/f.u.; E = -6.461 eV per atom; mass density = 8.39 Mg/m³; Fermi-level density of states = 1.362 states/eV/atom; V = 21.521 Å³/atom; polymorph energy (0 for the lowest one) = 370 meV/atom
1.0
5.8622 -0.0207 0.0000
2.9951 5.0394 0.0000
-4.4286 -2.5093 2.9079
Tc La Co
1 2 1
direct
0.5000 0.5000 0.0000
0.0000 0.0000 0.0000
0.2500 0.7500 0.5000
0.7500 0.2500 0.5000

---

(2)
La6Tl2CoTc, optimized geometry, DFT PBE; spin magnetization = 0.0 μB/f.u.; E = -5.394 eV per atom; mass density = 7.39 Mg/m³; Fermi-level density of states = 0.655 states/eV/atom; V = 31.419 Å³/atom
1.0
7.5797 -0.0166 -0.0173
-0.0167 7.5865 -0.0083
-3.7924 -3.7905 5.4767
La Tc Tl Co
6 1 2 1
direct
0.7488 0.7460 0.4977
0.2058 0.7076 0.9990
0.2428 0.2421 0.4944
0.7081 0.7896 0.9940
0.7981 0.2882 0.9955
0.2946 0.1976 0.9988
0.5048 0.5366 0.0213
0.2488 0.7513 0.4987
0.7465 0.2467 0.4976
0.0008 0.9983 0.0009

---

(3)
La2ZnCoTc, optimized geometry, DFT PBE; spin magnetization = 0.6 μB/f.u.; E = -4.689 eV per atom; mass density = 5.99 Mg/m³; Fermi-level density of states = 1.718 states/eV/atom; V = 27.741 Å³/atom
1.0
5.5396 0.0000 0.0000
0.0000 4.5200 0.0000
0.0000 0.0000 5.5396
La Co Zn Tc
2 1 1 1
direct
0.0000 0.0000 0.5000
0.5000 0.0000 0.0000
0.5000 0.5000 0.5000
0.0000 0.0000 0.0000
0.0000 0.5000 0.0000

---

(4)
La2CoTe, optimized geometry, DFT PBE; spin magnetization = 0.0 μB/f.u.; E = -5.641 eV per atom; energy relative to the elements, uncorrected = -0.615 eV per atom; mass density = 7.14 Mg/m³; Fermi-level density of states = 0.588 states/eV/atom; V = 26.992 Å³/atom
1.0
3.7615 0.0000 0.0000
0.0000 3.8293 0.0400
0.0000 2.4098 7.5210
La Te Co
2 1 1
direct
0.0000 0.9265 0.9715
0.0000 0.5735 0.5285
0.5000 0.2500 0.2500
0.5000 0.7500 0.7500

---

(5)
La12Co6Te, optimized geometry, DFT PBE; spin magnetization = 0.0 μB/f.u.; E = -5.774 eV per atom; energy relative to the elements, uncorrected = -0.252 eV per atom; mass density = 6.78 Mg/m³; Fermi-level density of states = 0.783 states/eV/atom; V = 27.697 Å³/atom
1.0
-0.7879 1.8987 -8.5660
8.0363 2.2901 2.7882
-1.1752 -8.6460 1.2115
La Te Co
12 1 6
direct
0.1299 0.8135 0.3164
0.3164 0.5029 0.1865
0.6836 0.4971 0.8135
0.1865 0.3164 0.5029
0.3164 0.1299 0.8135
0.6836 0.8701 0.1865
0.4971 0.8135 0.6836
0.8135 0.6836 0.4971
0.1865 0.6836 0.8701
0.8701 0.1865 0.6836
0.8135 0.3164 0.1299
0.5029 0.1865 0.3164
0.0000 0.0000 0.0000
0.1288 0.6288 0.5000
0.8712 0.3712 0.5000
0.6288 0.5000 0.1288
0.5000 0.1288 0.6288
0.3712 0.5000 0.8712
0.5000 0.8712 0.3712

---

(6)
La3Co5Te12, optimized geometry, DFT PBE; spin magnetization = 6.2 μB/f.u.; E = -4.884 eV per atom; energy relative to the elements, uncorrected = -0.483 eV per atom; mass density = 6.54 Mg/m³; Fermi-level density of states = 1.058 states/eV/atom; V = 28.469 Å³/atom
1.0
14.3558 0.0000 0.0000
-4.7853 13.5348 0.0000
-4.7853 -6.7674 11.7215
Te La Co
48 12 20
direct
0.4802 0.8019 0.8912
0.1088 0.4107 0.0891
0.3019 0.4107 0.8217
0.4107 0.1088 0.5891
0.0198 0.4109 0.8217
0.1981 0.5198 0.6088
0.1783 0.0891 0.9802
0.9107 0.0891 0.6088
0.3217 0.8019 0.4107
0.5891 0.9802 0.6783
0.0891 0.9107 0.1088
0.0893 0.1783 0.1981
0.8912 0.5893 0.9109
0.6783 0.1981 0.5893
0.8019 0.3217 0.9107
0.8912 0.3019 0.4802
0.3912 0.4109 0.0893
0.6981 0.5893 0.1783
0.5893 0.8912 0.4109
0.6981 0.1088 0.0198
0.4107 0.3019 0.3217
0.6783 0.4802 0.5891
0.8217 0.9107 0.3019
0.4109 0.0198 0.3217
0.8217 0.9109 0.0198
0.0891 0.1783 0.4802
0.6088 0.5891 0.9107
0.5891 0.6088 0.4107
0.5893 0.6981 0.6783
0.5198 0.3217 0.9109
0.5198 0.1981 0.1088
0.4109 0.3912 0.5893
0.1783 0.0893 0.6981
0.0893 0.9109 0.3912
0.9802 0.3912 0.3019
0.9802 0.5891 0.1783
0.8019 0.4802 0.3912
0.9109 0.0893 0.8912
0.1981 0.6783 0.0893
0.3217 0.5198 0.4109
0.6088 0.0198 0.1981
0.9109 0.8217 0.5198
0.9107 0.8217 0.8019
0.1088 0.6981 0.5198
0.0198 0.6088 0.6981
0.3019 0.8912 0.9802
0.4802 0.6783 0.0891
0.3912 0.9802 0.8019
0.6250 0.3750 0.7500
0.6250 0.2500 0.3750
0.1250 0.8750 0.7500
0.8750 0.7500 0.1250
0.8750 0.1250 0.2500
0.7500 0.8750 0.6250
0.3750 0.6250 0.2500
0.7500 0.3750 0.1250
0.1250 0.2500 0.8750
0.2500 0.6250 0.8750
0.3750 0.7500 0.6250
0.2500 0.1250 0.3750
0.0000 0.5000 0.0000
0.1250 0.7500 0.3750
0.3750 0.2500 0.1250
0.8750 0.6250 0.7500
0.0000 0.5000 0.5000
0.8750 0.2500 0.6250
0.0000 0.0000 0.5000
0.6250 0.8750 0.2500
0.0000 0.0000 0.0000
0.5000 0.5000 0.0000
0.7500 0.1250 0.8750
0.5000 0.5000 0.5000
0.5000 0.0000 0.5000
0.1250 0.3750 0.2500
0.3750 0.1250 0.7500
0.2500 0.8750 0.1250
0.5000 0.0000 0.0000
0.6250 0.7500 0.8750
0.7500 0.6250 0.3750
0.2500 0.3750 0.6250

---

(7)
La2CoTe, optimized geometry, DFT PBE; spin magnetization = 0.1 μB/f.u.; E = -5.617 eV per atom; energy relative to the elements, uncorrected = -0.591 eV per atom; mass density = 7.32 Mg/m³; Fermi-level density of states = 0.655 states/eV/atom; V = 26.319 Å³/atom
1.0
-2.0255 -1.0723 2.9456
-2.6952 -1.1951 -2.2883
3.2416 -6.8230 -0.2547
Co La Te
1 2 1
direct
0.5000 0.5000 0.7500
0.0000 0.0000 0.5317
0.0000 0.0000 0.9683
0.5000 0.5000 0.2500

---

(8)
LaCoTe, optimized geometry, DFT PBE; spin magnetization = 1.3 μB/f.u.; E = -5.323 eV per atom; energy relative to the elements, uncorrected = -0.264 eV per atom; mass density = 7.72 Mg/m³; Fermi-level density of states = 1.479 states/eV/atom; V = 23.328 Å³/atom
1.0
-2.3419 -4.1145 -3.8237
1.1938 -4.3382 -4.0977
-0.0617 -3.1044 1.7277
La Te Co
1 1 1
direct
0.3467 0.3467 0.6533
0.6306 0.6306 0.3694
0.0228 0.0228 0.9772

---

(9)
La2CoTe, optimized geometry, DFT PBE; spin magnetization = 0.0 μB/f.u.; E = -5.688 eV per atom; energy relative to the elements, uncorrected = -0.662 eV per atom; mass density = 6.65 Mg/m³; Fermi-level density of states = 0.712 states/eV/atom; V = 28.978 Å³/atom
1.0
4.5067 0.0000 0.0000
0.0000 4.2508 0.0073
0.0000 2.1136 6.0542
Co La Te
1 2 1
direct
0.5000 0.4886 0.8964
0.0000 0.9992 0.8766
0.5000 0.2949 0.2858
0.0000 0.7173 0.4412

---

(10)
La2CoTe, optimized geometry, DFT PBE; spin magnetization = 0.0 μB/f.u.; E = -5.666 eV per atom; energy relative to the elements, uncorrected = -0.641 eV per atom; mass density = 6.06 Mg/m³; Fermi-level density of states = 0.576 states/eV/atom; V = 31.799 Å³/atom
1.0
4.4089 0.0000 0.0000
0.0000 4.4089 0.0000
0.0000 0.0000 6.5435
Te Co La
1 1 2
direct
0.0000 0.0000 0.4015
0.5000 0.5000 0.9281
0.0000 0.0000 0.8950
0.5000 0.5000 0.2754

---

(11)
La2CoTe, optimized geometry, DFT PBE; spin magnetization = 0.0 μB/f.u.; E = -5.517 eV per atom; energy relative to the elements, uncorrected = -0.491 eV per atom; mass density = 7.09 Mg/m³; Fermi-level density of states = 0.880 states/eV/atom; V = 27.182 Å³/atom
1.0
-3.2499 -3.6671 2.4678
2.6194 0.5752 4.7861
-2.8737 3.5358 -3.0559
La Te Co
2 1 1
direct
0.0352 0.0352 0.0000
0.4648 0.4648 0.0000
0.7500 0.2500 0.5000
0.2500 0.7500 0.5000

---

(12)
La2CoTe, optimized geometry, DFT PBE; spin magnetization = 0.0 μB/f.u.; E = -5.717 eV per atom; energy relative to the elements, uncorrected = -0.691 eV per atom; mass density = 6.59 Mg/m³; Fermi-level density of states = 0.918 states/eV/atom; V = 29.271 Å³/atom
1.0
-2.4235 -3.0063 -1.6388
1.7299 -3.5503 -1.4141
-1.0213 -5.3424 5.9420
Te Co La
1 1 2
direct
0.5001 0.5001 0.4996
0.6669 0.6669 0.9993
0.2649 0.2649 0.2052
0.0681 0.0681 0.7958

---

(13)
La5Co2Te, optimized geometry, DFT PBE; spin magnetization = 0.0 μB/f.u.; E = -5.693 eV per atom; energy relative to the elements, uncorrected = -0.444 eV per atom; mass density = 7.02 Mg/m³; Fermi-level density of states = 1.019 states/eV/atom; V = 27.785 Å³/atom
1.0
-5.4805 -5.3258 -2.4655
5.4667 -5.8598 0.5063
-1.8262 4.4483 7.5268
Co La Te
4 10 2
direct
0.6494 0.1494 0.0000
0.3506 0.8506 0.0000
0.8506 0.6494 0.0000
0.1494 0.3506 0.0000
0.9778 0.4778 0.2644
0.4778 0.2866 0.2644
0.5222 0.7134 0.7356
0.7866 0.9778 0.2644
0.0000 0.0000 0.0000
0.2866 0.7866 0.2644
0.2134 0.0222 0.7356
0.5000 0.5000 0.0000
0.0222 0.5222 0.7356
0.7134 0.2134 0.7356
0.7500 0.7500 0.5000
0.2500 0.2500 0.5000

---

(14)
LaCoTe, optimized geometry, DFT PBE; spin magnetization = 0.0 μB/f.u.; E = -5.851 eV per atom; energy relative to the elements, uncorrected = -0.793 eV per atom; mass density = 7.71 Mg/m³; Fermi-level density of states = 0.483 states/eV/atom; V = 23.355 Å³/atom
1.0
-2.7202 3.1055 -1.3384
-0.5594 -1.8473 3.8871
2.5277 2.9816 1.7807
La Co Te
1 1 1
direct
0.6667 0.3333 0.3039
0.0000 0.0000 0.8858
0.3333 0.6667 0.8103

---

(15)
La2CoTe, optimized geometry, DFT PBE; spin magnetization = 0.0 μB/f.u.; E = -5.623 eV per atom; energy relative to the elements, uncorrected = -0.597 eV per atom; mass density = 7.24 Mg/m³; Fermi-level density of states = 0.590 states/eV/atom; V = 26.627 Å³/atom
1.0
-1.1902 1.8247 3.0467
-3.2244 -0.4534 -1.8511
-1.1196 -6.7458 3.6026
Te Co La
1 1 2
direct
0.5000 0.5000 0.2500
0.5000 0.5000 0.7500
0.0000 0.0000 0.5368
0.0000 0.0000 0.9632

---

(16)
La2CoTe, optimized geometry, DFT PBE; spin magnetization = 0.9 μB/f.u.; E = -5.045 eV per atom; energy relative to the elements, uncorrected = -0.019 eV per atom; mass density = 7.73 Mg/m³; Fermi-level density of states = 1.184 states/eV/atom; V = 24.934 Å³/atom
1.0
5.2054 0.0000 0.0000
2.6027 4.5080 0.0000
2.6027 1.5027 4.2502
Co Te La
1 1 2
direct
0.5000 0.5000 0.5000
0.7500 0.7500 0.7500
0.2500 0.2500 0.2500
0.0000 0.0000 0.0000

---

(17)
LaCoTe4, optimized geometry, DFT PBE; spin magnetization = 2.1 μB/f.u.; E = -3.809 eV per atom; energy relative to the elements, uncorrected = 0.291 eV per atom; mass density = 6.63 Mg/m³; Fermi-level density of states = 0.534 states/eV/atom; V = 29.554 Å³/atom
1.0
-1.8445 3.3768 4.9962
-6.0537 -0.0312 1.7659
-1.7179 -2.9197 5.3189
La Te Co
1 4 1
direct
0.0000 0.0000 0.0000
0.3755 0.3755 0.8735
0.3755 0.8735 0.3755
0.3755 0.3755 0.3755
0.8735 0.3755 0.3755
0.7500 0.7500 0.7500

---

(18)
La2CoTe, optimized geometry, DFT PBE; spin magnetization = 0.0 μB/f.u.; E = -5.451 eV per atom; energy relative to the elements, uncorrected = -0.425 eV per atom; mass density = 7.42 Mg/m³; Fermi-level density of states = 0.889 states/eV/atom; V = 25.975 Å³/atom
1.0
-1.5568 0.6545 6.0006
3.3436 -2.8089 4.4486
0.9339 3.5722 -5.0226
Te La Co
1 2 1
direct
0.5000 0.5000 0.0000
0.0000 0.0000 0.0000
0.2500 0.7500 0.5000
0.7500 0.2500 0.5000

---

(19)
LaCo2Te2, optimized geometry, DFT PBE; spin magnetization = 1.8 μB/f.u.; E = -5.602 eV per atom; energy relative to the elements, uncorrected = -0.517 eV per atom; mass density = 8.00 Mg/m³; Fermi-level density of states = 0.620 states/eV/atom; V = 21.262 Å³/atom; polymorph energy (0 for the lowest one) = 0 meV/atom
1.0
-1.1433 -1.1959 3.7980
3.5993 -2.0003 0.4537
3.7742 3.5231 4.5049
Te Co La
2 2 1
direct
0.3630 0.3630 0.2739
0.6370 0.6370 0.7261
0.7500 0.2500 0.5000
0.2500 0.7500 0.5000
0.0000 0.0000 0.0000

---

(20)
La2CoTe, optimized geometry, DFT PBE; spin magnetization = 0.0 μB/f.u.; E = -5.748 eV per atom; energy relative to the elements, uncorrected = -0.723 eV per atom; mass density = 6.64 Mg/m³; Fermi-level density of states = 0.607 states/eV/atom; V = 29.045 Å³/atom
1.0
4.2106 0.0071 0.0109
2.1055 3.6463 0.0109
2.0781 1.2020 7.5818
Te La Co
1 2 1
direct
0.7500 0.7500 0.7500
0.5147 0.5147 0.4571
0.9853 0.9853 0.0429
0.2500 0.2500 0.2500

---

(21)
LaCoTe, optimized geometry, DFT PBE; spin magnetization = 1.2 μB/f.u.; E = -5.265 eV per atom; energy relative to the elements, uncorrected = -0.207 eV per atom; mass density = 6.88 Mg/m³; Fermi-level density of states = 1.030 states/eV/atom; V = 26.186 Å³/atom
1.0
3.9836 0.0000 0.0000
-1.9918 3.5195 0.0000
0.0000 0.0000 11.2066
Co Te La
2 2 2
direct
0.3383 0.6766 0.5000
0.5985 0.1971 0.0000
0.2647 0.5293 0.1417
0.2647 0.5293 0.8583
0.6002 0.2004 0.6546
0.6002 0.2004 0.3454

---

(22)
La6Co3Te, optimized geometry, DFT PBE; spin magnetization = 0.0 μB/f.u.; E = -5.784 eV per atom; energy relative to the elements, uncorrected = -0.381 eV per atom; mass density = 6.60 Mg/m³; Fermi-level density of states = 0.746 states/eV/atom; V = 28.639 Å³/atom
1.0
4.1220 0.0000 0.0000
0.0000 11.1997 -3.3014
0.0000 0.1704 12.3573
Te La Co
2 12 6
direct
0.7500 0.0511 0.6809
0.2500 0.9489 0.3191
0.2500 0.6086 0.9535
0.7500 0.1691 0.4607
0.7500 0.4924 0.6148
0.2500 0.2147 0.2084
0.7500 0.7853 0.7916
0.7500 0.6964 0.2606
0.2500 0.3036 0.7394
0.7500 0.3914 0.0465
0.7500 0.9202 0.0929
0.2500 0.8309 0.5393
0.2500 0.0798 0.9071
0.2500 0.5076 0.3852
0.7500 0.1513 0.0717
0.2500 0.8487 0.9283
0.7500 0.6687 0.4854
0.7500 0.4754 0.8349
0.2500 0.3313 0.5146
0.2500 0.5246 0.1651